Compound: SmEr2Tc
Source: Alexandria
Functional: PBE
Structure: optimized geometry

The value obtained for the final energy is -98.4 eV/cell. For the energy above the most stable polymorph in this dataset, the calculation gives 0.000 eV/atom. For the density of states at the Fermi level, the calculation gives 13.3 states/eV per cell. The value obtained for the total magnetic moment is 0.000 μB/atom. As for the crystal system: orthorhombic.

The space group is Pnma (No. 62) and the conventional cell measures 7.477, 9.095 and 6.281 Å, with angles of 90.00, 90.00 and 90.00 degrees. The inequivalent atoms are Sm at (0.042, 0.250, 0.125), Er at (0.175, 0.064, 0.657) and Tc at (0.116, 0.750, 0.455).

=====

Compound: TlCu2Sn
Source: Alexandria
Functional: PBE
Structure: optimized geometry

The value obtained for the final energy is -53.6 eV/cell. For the density of states at the Fermi level, the calculation gives 8.1 states/eV per cell. The value obtained for the total magnetic moment is 0.000 μB/atom. As for the crystal system: cubic.

The space group is Fm-3m (No. 225) and the conventional cell measures 6.776, 6.776 and 6.776 Å, with angles of 90.00, 90.00 and 90.00 degrees. The inequivalent atoms are Tl at (0.000, 0.000, 0.000), Cu at (0.250, 0.250, 0.250) and Sn at (0.000, 0.000, 0.500).

=====

Compound: RbTiTlPb2
Source: Alexandria
Functional: PBE
Structure: optimized geometry

The value obtained for the final energy is -18.6 eV/cell. For the density of states at the Fermi level, the calculation gives 3.4 states/eV per cell. The value obtained for the total magnetic moment is 0.000 μB/atom. As for the crystal system: tetragonal.

The space group is P4/mmm (No. 123) and the conventional cell measures 5.505, 5.505 and 5.619 Å, with angles of 90.00, 90.00 and 90.00 degrees. The inequivalent atoms are Rb at (0.000, 0.000, 0.000), Ti at (0.500, 0.500, 0.500), Tl at (0.500, 0.500, 0.000) and Pb at (0.000, 0.500, 0.500).

=====

Compound: Pr2BeB10
Source: Alexandria
Functional: PBE
Structure: optimized geometry

The value obtained for the final energy is -172.2 eV/cell. For the density of states at the Fermi level, the calculation gives 3.1 states/eV per cell. The value obtained for the total magnetic moment is 0.000 μB/atom. As for the crystal system: orthorhombic.

The space group is Pbam (No. 55) and the conventional cell measures 5.648, 11.150 and 4.187 Å, with angles of 90.00, 90.00 and 90.00 degrees. The inequivalent atoms are Pr at (0.193, 0.135, 0.000), Be at (0.000, 0.500, 0.500), B at (0.030, 0.313, 0.500), B at (0.127, 0.959, 0.500), B at (0.162, 0.803, 0.500) and B at (0.197, 0.388, 0.201).

=====

Compound: Ba12Tl6Si
Source: Alexandria
Functional: PBE
Structure: optimized geometry

The value obtained for the final energy is -137.7 eV/cell. For the formation energy (no corrections), the calculation gives -169 meV/atom. For the density of states at the Fermi level, the calculation gives 91.6 states/eV per cell. The value obtained for the total magnetic moment is 0.000 μB/atom. As for the crystal system: trigonal.

The space group is R-3 (No. 148, hexagonal axes) and the conventional cell measures 15.3246, 15.3246 and 14.7560 Å, with angles of 90.00, 90.00 and 120.00 degrees. The inequivalent atoms are Ba at (0.0362, 0.2212, 0.4012), Ba at (0.0495, 0.2003, 0.8871), Tl at (0.0526, 0.2674, 0.6479) and Si at (0.0000, 0.0000, 0.0000).

=====

Compound: LaTeAs2
Source: Alexandria
Functional: PBE
Structure: optimized geometry

The value obtained for the final energy is -59.9 eV/cell. For the formation energy (no corrections), the calculation gives -648 meV/atom. For the density of states at the Fermi level, the calculation gives 5.4 states/eV per cell. The value obtained for the total magnetic moment is 0.000 μB/atom. As for the crystal system: trigonal.

The space group is R3m (No. 160, hexagonal axes) and the conventional cell measures 4.3564, 4.3564 and 21.9838 Å, with angles of 90.00, 90.00 and 120.00 degrees. The inequivalent atoms are La at (0.0000, 0.0000, 0.0000), Te at (0.0000, 0.0000, 0.7527), As at (0.0000, 0.0000, 0.2459) and As at (0.0000, 0.0000, 0.5409).

=====

Compound: Ba6Rh2I
Source: Alexandria
Functional: PBE
Structure: optimized geometry

The value obtained for the final energy is -62.0 eV/cell. For the formation energy (no corrections), the calculation gives -357 meV/atom. For the energy above the most stable polymorph in this dataset, the calculation gives 0.062 eV/atom. For the density of states at the Fermi level, the calculation gives 17.0 states/eV per cell. The value obtained for the total magnetic moment is 0.092 μB/atom. As for the crystal system: monoclinic.

The space group is C2/m (No. 12) and the conventional cell measures 15.111, 6.199 and 10.933 Å, with angles of 90.00, 118.13 and 90.00 degrees. The inequivalent atoms are Ba at (0.019, 0.000, 0.193), Ba at (0.164, 0.500, 0.615), Ba at (0.184, 0.500, 0.061), Rh at (0.182, 0.000, 0.100) and I at (0.000, 0.000, 0.500).

=====

Compound: Ca2S2N
Source: Alexandria
Functional: PBE
Structure: optimized geometry

The value obtained for the final energy is -46.3 eV/cell. For the formation energy (no corrections), the calculation gives -509 meV/atom. For the energy above the most stable polymorph in this dataset, the calculation gives 0.023 eV/atom. For the density of states at the Fermi level, the calculation gives 5.5 states/eV per cell. The value obtained for the total magnetic moment is 0.398 μB/atom. As for the crystal system: tetragonal.

The space group is P4/mbm (No. 127) and the conventional cell measures 7.484, 7.484 and 3.666 Å, with angles of 90.00, 90.00 and 90.00 degrees. The inequivalent atoms are Ca at (0.158, 0.342, 0.000), S at (0.153, 0.653, 0.500) and N at (0.000, 0.000, 0.500).